Record 1
First-principles (PBE) data for TbDy3Th4 after structural relaxation, as listed in Alexandria via LeMat-Bulk.

N(E_F), states/eV per atom: 1.29
Final energy, eV per cell: -94.01
Size of the total moment, μB per cell: 0.00

a = 3.4297 Å, b = 11.3673 Å, c = 13.2068 Å
α = 90.00°, β = 90.00°, γ = 90.00°
Closest atoms and distances in Å follow each position.
Space group Immm (No. 71)
Asymmetric unit:
Tb  0.0000  0.0000  0.0000  4 Th 3.35, 2 Tb 3.43, 4 Dy 3.55
Dy  0.0000  0.0000  0.5000  2 Dy 3.43, 8 Th 3.71
Dy  0.0000  0.5000  0.2649  6 Th 3.33-3.62, 2 Dy 3.43, 2 Tb 3.55
Th  0.0000  0.2529  0.1299  5 Dy 3.33-3.71, 1 Tb 3.35, 5 Th 3.43-3.61

=====

Record 2
First-principles (PBE) data for Zr2GeN after structural relaxation, as listed in Alexandria via LeMat-Bulk.

N(E_F), states/eV per atom: 0.91
Final energy, eV per cell: -120.65
Size of the total moment, μB per cell: 0.00

a = 6.3751 Å, b = 6.3751 Å, c = 6.3751 Å
α = 90.00°, β = 90.00°, γ = 90.00°
Closest atoms and distances in Å follow each position.
Space group Fm-3m (No. 225)
Asymmetric unit:
Zr  0.2500  0.2500  0.2500  4 Ge 2.76, 4 N 2.76
Ge  0.0000  0.0000  0.0000  8 Zr 2.76
N  0.0000  0.0000  0.5000  8 Zr 2.76

=====

Record 3
First-principles (PBE) data for Ca2PaPbO6 after structural relaxation, as listed in Alexandria via LeMat-Bulk.

N(E_F), states/eV per atom: 0.47
Final energy, eV per cell: -221.81
Size of the total moment, μB per cell: 0.00

a = 5.9440 Å, b = 5.9440 Å, c = 15.5471 Å
α = 90.00°, β = 90.00°, γ = 120.00°
Closest atoms and distances in Å follow each position.
Space group R3 (No. 146, hexagonal axes)
Asymmetric unit:
Ca  0.0000  0.0000  0.0000  6 O 2.36-2.51
Ca  0.0000  0.0000  0.4942  6 O 2.34-2.47
Pa  0.0000  0.0000  0.7859  6 O 2.17-2.21
Pb  0.0000  0.0000  0.2795  6 O 2.36-2.50
O  0.0093  0.3750  0.0547  1 Pa 2.17, 1 Ca 2.36
O  0.0102  0.7246  0.8794  1 Pa 2.21, 1 Ca 2.34, 1 Pb 2.36

=====

Record 4
First-principles (PBE) data for RbHf3In after structural relaxation, as listed in Alexandria via LeMat-Bulk.

Distance to the lowest polymorph of the same formula, meV/atom: 0
N(E_F), states/eV per atom: 2.15
Final energy, eV per cell: -26.26
Size of the total moment, μB per cell: 1.77

a = 5.4757 Å, b = 5.4757 Å, c = 5.4757 Å
α = 90.00°, β = 90.00°, γ = 90.00°
Closest atoms and distances in Å follow each position.
Space group Pm-3m (No. 221)
Asymmetric unit:
Rb  0.0000  0.0000  0.0000  12 Hf 3.87
Hf  0.0000  0.5000  0.5000  2 In 2.74
In  0.5000  0.5000  0.5000  6 Hf 2.74

=====

Record 5
First-principles (PBE) data for HgP after structural relaxation, as listed in Alexandria via LeMat-Bulk.

Distance to the lowest polymorph of the same formula, meV/atom: 430
N(E_F), states/eV per atom: 0.66
Final energy, eV per cell: -19.17
Size of the total moment, μB per cell: 0.00

a = 5.8969 Å, b = 5.8969 Å, c = 5.8969 Å
α = 90.00°, β = 90.00°, γ = 90.00°
Closest atoms and distances in Å follow each position.
Space group F-43m (No. 216)
Asymmetric unit:
Hg  0.0000  0.0000  0.0000  4 P 2.55
P  0.2500  0.2500  0.7500  4 Hg 2.55

=====

Record 6
First-principles (PBE) data for CuTc3Mo after structural relaxation, as listed in Alexandria via LeMat-Bulk.

Distance to the lowest polymorph of the same formula, meV/atom: 0
N(E_F), states/eV per atom: 1.68
Final energy, eV per cell: -37.65
Size of the total moment, μB per cell: 0.00

a = 4.3877 Å, b = 4.3877 Å, c = 4.3877 Å
α = 90.00°, β = 90.00°, γ = 90.00°
Closest atoms and distances in Å follow each position.
Space group Pm-3m (No. 221)
Asymmetric unit:
Cu  0.0000  0.0000  0.0000  6 Tc 2.19
Tc  0.0000  0.0000  0.5000  2 Cu 2.19
Mo  0.5000  0.5000  0.5000  12 Tc 3.10

=====

Record 7
First-principles (PBE) data for TbSmDyEr after structural relaxation, as listed in Alexandria via LeMat-Bulk.

Distance to the lowest polymorph of the same formula, meV/atom: 117
N(E_F), states/eV per atom: 2.25
Final energy, eV per cell: -71.89
Size of the total moment, μB per cell: 0.01

a = 8.0241 Å, b = 8.0241 Å, c = 8.0241 Å
α = 90.00°, β = 90.00°, γ = 90.00°
Closest atoms and distances in Å follow each position.
Space group F-43m (No. 216)
Asymmetric unit:
Tb  0.0000  0.0000  0.0000  4 Er 3.47, 4 Dy 3.47
Sm  0.0000  0.0000  0.5000  4 Dy 3.47, 4 Er 3.47
Dy  0.2500  0.2500  0.7500  4 Tb 3.47, 4 Sm 3.47
Er  0.2500  0.2500  0.2500  4 Tb 3.47, 4 Sm 3.47

=====

Record 8
First-principles (PBE) data for AlZn2In after structural relaxation, as listed in Alexandria via LeMat-Bulk.

Distance to the lowest polymorph of the same formula, meV/atom: 101
N(E_F), states/eV per atom: 0.45
Final energy, eV per cell: -16.57
Size of the total moment, μB per cell: 0.00

a = 3.3697 Å, b = 5.0434 Å, c = 9.1212 Å
α = 90.00°, β = 90.00°, γ = 90.00°
Closest atoms and distances in Å follow each position.
Space group Immm (No. 71)
Asymmetric unit:
Al  0.0000  0.0000  0.0000  4 Zn 2.72, 4 In 3.03
Zn  0.0000  0.5000  0.2660  2 Al 2.72, 2 In 2.95
In  0.0000  0.0000  0.5000  8 Zn 2.95-3.30, 4 Al 3.03

=====

Record 9
First-principles (PBE) data for HoEr2Co9 after structural relaxation, as listed in Alexandria via LeMat-Bulk.

N(E_F), states/eV per atom: 1.34
Final energy, eV per cell: -240.31
Size of the total moment, μB per cell: 32.30

a = 4.9595 Å, b = 4.9595 Å, c = 24.2278 Å
α = 90.00°, β = 90.00°, γ = 120.00°
Closest atoms and distances in Å follow each position.
Space group R-3m (No. 166, hexagonal axes)
Asymmetric unit:
Ho  0.0000  0.0000  0.0000  18 Co 2.86-3.17
Er  0.0000  0.0000  0.1399  12 Co 2.85-3.06, 3 Er 3.14
Co  0.0000  0.0000  0.3350  6 Co 2.42-2.47
Co  0.0000  0.0000  0.5000  6 Co 2.52
Co  0.0035  0.5018  0.9183  7 Co 2.42-2.52

=====

Record 10
First-principles (PBE) data for CaCeZn3 after structural relaxation, as listed in Alexandria via LeMat-Bulk.

N(E_F), states/eV per atom: 1.57
Final energy, eV per cell: -51.89
Size of the total moment, μB per cell: 4.01

a = 3.5783 Å, b = 27.7415 Å, c = 4.5952 Å
α = 90.00°, β = 90.00°, γ = 90.00°
Closest atoms and distances in Å follow each position.
Space group Cmcm (No. 63)
Asymmetric unit:
Ca  0.0000  0.2072  0.2500  6 Zn 3.07-3.11
Ce  0.0000  0.0714  0.7500  12 Zn 3.18-3.21
Zn  0.0000  0.3326  0.2500  2 Zn 2.68
Zn  0.0000  0.3827  0.7500  3 Zn 2.61-2.68
Zn  0.0000  0.4767  0.7500  3 Zn 2.61-2.64

=====

Record 11
First-principles (PBE) data for CrHOsRu2 after structural relaxation, as listed in Alexandria via LeMat-Bulk.

Distance to the lowest polymorph of the same formula, meV/atom: 50
N(E_F), states/eV per atom: 0.98
Final energy, eV per cell: -42.10
Size of the total moment, μB per cell: 0.51

a = 3.8410 Å, b = 3.8410 Å, c = 3.8643 Å
α = 90.00°, β = 90.00°, γ = 90.00°
Closest atoms and distances in Å follow each position.
Space group P4/mmm (No. 123)
Asymmetric unit:
Cr  0.0000  0.0000  0.0000  4 Os 2.72, 8 Ru 2.72
H  0.5000  0.5000  0.5000  4 Ru 1.92, 2 Os 1.93
Os  0.5000  0.5000  0.0000  2 H 1.93
Ru  0.0000  0.5000  0.5000  2 H 1.92

=====

Record 12
First-principles (PBE) data for BC2 after structural relaxation, as listed in Alexandria via LeMat-Bulk.

Distance to the lowest polymorph of the same formula, meV/atom: 96
N(E_F), states/eV per atom: 0.20
Final energy, eV per cell: -96.47
Size of the total moment, μB per cell: 0.00

a = 4.4513 Å, b = 2.5862 Å, c = 6.6107 Å
α = 90.00°, β = 90.63°, γ = 90.00°
Closest atoms and distances in Å follow each position.
Space group Pm (No. 6)
Asymmetric unit:
B  0.0000  0.0000  0.0000  4 C 1.61-1.67
B  0.1638  0.5000  0.3112  1 C 1.53
B  0.3691  0.0000  0.4491  2 C 1.60-1.70
B  0.7807  0.5000  0.4354  3 C 1.56-1.64
C  0.0024  0.0000  0.7468  3 C 1.55-1.56, 1 B 1.67
C  0.1833  0.5000  0.0802  1 C 1.51, 3 B 1.53-1.62
C  0.3406  0.0000  0.6906  3 C 1.55-1.58, 1 B 1.60
C  0.5045  0.5000  0.0085  4 C 1.51-1.57
C  0.5044  0.5000  0.7717  4 C 1.57-1.58
C  0.6660  0.0000  0.0895  3 C 1.51-1.57, 1 B 1.61
C  0.6956  0.0000  0.3172  1 C 1.51, 2 B 1.56
C  0.8322  0.5000  0.6819  3 C 1.56-1.58, 1 B 1.64